Record 1
First-principles (GGA-PBEsol) data for a relaxed Cs2SbPd crystal, as listed in the Alexandria database.

Results
symmetry: I-42d (122)
crystal system: tetragonal
formation energy without anion corrections: -0.232 eV per atom

a = 12.776 Å, b = 12.776 Å, c = 5.006 Å
α = 90.00°, β = 90.00°, γ = 90.00°
Positions (direct):
Cs 0.085 0.750 0.125
Cs 0.250 0.085 0.875
Cs 0.250 0.415 0.375
Cs 0.415 0.750 0.625
Cs 0.585 0.250 0.625
Cs 0.750 0.585 0.375
Cs 0.750 0.915 0.875
Cs 0.915 0.250 0.125
Sb 0.000 0.000 0.500
Sb 0.000 0.500 0.750
Sb 0.500 0.000 0.250
Sb 0.500 0.500 0.000
Pd 0.000 0.000 0.000
Pd 0.000 0.500 0.250
Pd 0.500 0.000 0.750
Pd 0.500 0.500 0.500

---

Record 2
First-principles (GGA-PBEsol) data for a relaxed PI2Cl crystal, as listed in the Alexandria database.

Results
symmetry: Fm-3m (225)
relative energy among the computed polymorphs: 0.180 eV/atom
crystal system: cubic
formation energy without anion corrections: 0.468 eV per atom

a = 7.219 Å, b = 7.219 Å, c = 7.219 Å
α = 90.00°, β = 90.00°, γ = 90.00°
Positions (direct):
P 0.000 0.000 0.000
P 0.000 0.500 0.500
P 0.500 0.000 0.500
P 0.500 0.500 0.000
I 0.250 0.250 0.250
I 0.250 0.250 0.750
I 0.250 0.750 0.250
I 0.250 0.750 0.750
I 0.750 0.250 0.250
I 0.750 0.250 0.750
I 0.750 0.750 0.250
I 0.750 0.750 0.750
Cl 0.000 0.000 0.500
Cl 0.000 0.500 0.000
Cl 0.500 0.000 0.000
Cl 0.500 0.500 0.500

---

Record 3
First-principles (GGA-PBEsol) data for a relaxed FeNiW crystal, as listed in the Alexandria database.

Results
symmetry: F-43m (216)
relative energy among the computed polymorphs: 0.000 eV/atom
crystal system: cubic

a = 5.549 Å, b = 5.549 Å, c = 5.549 Å
α = 90.00°, β = 90.00°, γ = 90.00°
Positions (direct):
Fe 0.000 0.000 0.000
Fe 0.000 0.500 0.500
Fe 0.500 0.000 0.500
Fe 0.500 0.500 0.000
Ni 0.000 0.000 0.500
Ni 0.000 0.500 0.000
Ni 0.500 0.000 0.000
Ni 0.500 0.500 0.500
W 0.250 0.250 0.250
W 0.250 0.750 0.750
W 0.750 0.250 0.750
W 0.750 0.750 0.250

---

| no. | calculated volume (A^3/atom) |
| --- | --- |
| 1 | 51.07 |
| 2 | 23.51 |
| 3 | 14.24 |